1.
Material: Ca3HfIn
Method: DFT, GGA-PBE
State: relaxed

Cell and atoms, written as POSCAR:
```
Ca3HfIn
1.0
-1.134 -5.713 0.482
5.726 -1.106 0.369
-0.269 0.544 5.812
Hf In Ca
1 1 3
direct
0.500 0.500 0.500
0.000 0.000 0.000
0.500 0.000 0.000
0.000 0.000 0.500
0.000 0.500 0.000
```

## Properties
Space group: Pm-3m, No. 221
Energy relative to the elements, eV/f.u.: 3.5
Volume, Å³ per atom: 39.91
Density, g/cm³: 3.44

2.
Material: Pm2ErGe4Pt3
Method: DFT, GGA-PBE
State: relaxed

Cell and atoms, written as POSCAR:
```
Pm2ErGe4Pt3
1.0
4.284 0.000 0.000
0.000 4.284 0.000
0.000 0.000 11.298
Pt Pm Ge Er
3 2 4 1
direct
0.000 0.000 0.500
0.500 0.000 0.881
0.000 0.500 0.119
0.500 0.000 0.233
0.000 0.500 0.767
0.500 0.500 0.000
0.000 0.500 0.339
0.500 0.000 0.661
0.000 0.000 0.000
0.500 0.500 0.500
```

## Properties
Space group: P-4m2, No. 115
Energy relative to the elements, eV/f.u.: -9.1
Volume, Å³ per atom: 20.74
Density, g/cm³: 10.67

3.
Material: Cr2SbAs
Method: DFT, GGA-PBE
State: relaxed

Cell and atoms, written as POSCAR:
```
Cr2SbAs
1.0
-1.024 -3.182 -0.515
1.427 0.037 -3.066
5.264 -2.087 2.425
Cr As Sb
2 1 1
direct
0.500 0.500 0.241
0.000 0.000 0.966
0.500 0.500 0.831
0.000 0.000 0.462
```

## Properties
Space group: P4mm, No. 99
Volume, Å³ per atom: 17.61
Density, g/cm³: 7.09
Energy relative to the elements, uncorrected, eV/atom: 0.144

4.
Material: Ru2IBr
Method: DFT, GGA-PBE
State: relaxed

Cell and atoms, written as POSCAR:
```
Ru2IBr
1.0
-1.510 -0.204 3.507
3.379 -5.107 1.158
5.482 7.269 0.753
Ru Br I
4 2 2
direct
0.073 0.969 0.622
0.672 0.073 0.824
0.574 0.659 0.623
0.178 0.788 0.837
0.023 0.337 0.519
0.464 0.806 0.396
0.298 0.152 0.081
0.709 0.533 0.901
```

## Properties
Space group: P1, No. 1
Volume, Å³ per atom: 25.25
Density, g/cm³: 6.72
Energy relative to the elements, uncorrected, eV/atom: 0.257

5.
Material: Nd5Zn4In
Method: DFT, GGA-PBE
State: relaxed

Cell and atoms, written as POSCAR:
```
Nd5Zn4In
1.0
3.691 0.000 0.000
0.000 3.691 0.000
0.000 0.000 19.016
Zn Nd In
4 5 1
direct
0.000 0.000 0.211
0.000 0.000 0.402
0.000 0.000 0.598
0.000 0.000 0.789
0.500 0.500 0.694
0.500 0.500 0.306
0.500 0.500 0.113
0.500 0.500 0.887
0.500 0.500 0.500
0.000 0.000 0.000
```

## Properties
Space group: P4/mmm, No. 123
Energy relative to the elements, eV/f.u.: -3.4
Volume, Å³ per atom: 25.90
Density, g/cm³: 7.04

6.
Material: IrSI2
Method: DFT, GGA-PBE
State: relaxed

Cell and atoms, written as POSCAR:
```
IrSI2
1.0
-2.247 1.552 4.117
-0.089 4.816 1.101
-4.236 2.525 -0.299
Ir S I
1 1 2
direct
0.500 0.500 0.500
0.000 0.000 0.000
0.250 0.250 0.250
0.750 0.750 0.750
```

## Properties
Space group: Fm-3m, No. 225
Volume, Å³ per atom: 21.32
Density, g/cm³: 9.31
Energy relative to the elements, uncorrected, eV/atom: 1.158

DOS(E_F) values (in states/eV per cell) by entry order: 2.68; 3.81; 3.67; 8.16; 12.16; 5.65.